Compound: MnTeH3
Source: Alexandria
Functional: PBE-GGA
Structure: relaxed

```
MnTeH3
1.0
-2.468 2.107 -1.421
-2.187 -0.753 2.683
1.294 2.746 1.825
H Mn Te
3 1 1
direct
0.000 0.000 0.500
0.000 0.500 0.000
0.500 0.000 0.000
0.000 0.000 0.000
0.500 0.500 0.500
```



Compound: MnTe2H2
Source: Alexandria
Functional: PBE-GGA
Structure: relaxed

```
MnTe2H2
1.0
-0.787 -3.240 -1.726
3.520 0.759 1.054
-2.350 -3.995 8.573
Te H Mn
2 2 1
direct
0.684 0.368 0.161
0.316 0.632 0.839
0.964 0.928 0.468
0.036 0.072 0.532
0.000 0.000 0.000
```



Compound: MnTe3H
Source: Alexandria
Functional: PBE-GGA
Structure: relaxed

```
MnTe3H
1.0
-0.533 3.562 2.851
-1.952 -2.773 3.099
4.124 -0.852 1.835
H Te Mn
1 3 1
direct
0.000 0.000 0.000
0.500 0.000 0.000
0.000 0.000 0.500
0.000 0.500 0.000
0.500 0.500 0.500
```



Compound: MnTe3H
Source: Alexandria
Functional: PBE-GGA
Structure: relaxed

```
MnTe3H
1.0
5.004 0.000 0.000
0.000 5.004 0.000
0.000 0.000 5.004
Te H Mn
3 1 1
direct
0.500 0.000 0.000
0.000 0.500 0.000
0.000 0.000 0.500
0.500 0.500 0.500
0.000 0.000 0.000
```



Compound: MnTe2H2
Source: Alexandria
Functional: PBE-GGA
Structure: relaxed

```
MnTe2H2
1.0
6.553 0.000 0.173
3.277 4.855 0.087
3.047 0.000 5.747
H Mn Te
4 2 4
direct
0.109 0.000 0.776
0.783 0.000 0.065
0.891 0.000 0.224
0.217 0.000 0.935
0.882 0.235 0.000
0.118 0.765 0.000
0.605 0.373 0.757
0.023 0.373 0.243
0.395 0.627 0.243
0.977 0.627 0.757
```



Compound: MnTe3H
Source: Alexandria
Functional: PBE-GGA
Structure: relaxed

```
MnTe3H
1.0
-2.410 -2.615 0.401
6.266 -4.787 6.447
-4.570 4.721 3.311
H Te Mn
2 6 2
direct
0.250 0.832 0.481
0.750 0.168 0.519
0.250 0.864 0.731
0.250 0.730 0.065
0.250 0.454 0.655
0.750 0.136 0.269
0.750 0.546 0.345
0.750 0.270 0.935
0.250 0.328 0.240
0.750 0.672 0.760
```



Quick rundown of M_tot, same order as above: 0.0; 2.9; 0.0; 0.0; 0.0; 4.3 Bohr magnetons per cell
Quick rundown of energy, same order as above: -3.901; -4.569; -3.238; -3.505; -4.312; -4.334 eV/atom